Entry 1:
# Nd3MnC3

Crystalline Nd3MnC3 at its relaxed geometry (GGA-PBE, Alexandria).

Values from the calculation:
Crystal system: orthorhombic
Energy relative to the elements in eV per atom: -0.147

POSCAR file:
```
Nd3MnC3
1.0
4.352 -5.324 0.000
4.352 5.324 0.000
0.000 0.000 5.358
Nd Mn C
6 2 6
direct
0.109 0.891 0.750 Nd
0.171 0.415 0.750 Nd
0.415 0.171 0.250 Nd
0.585 0.829 0.750 Nd
0.829 0.585 0.250 Nd
0.891 0.109 0.250 Nd
0.299 0.701 0.250 Mn
0.701 0.299 0.750 Mn
0.127 0.873 0.250 C
0.179 0.443 0.250 C
0.443 0.179 0.750 C
0.557 0.821 0.250 C
0.821 0.557 0.750 C
0.873 0.127 0.750 C
```

=====

Entry 2:
# NdMn2C2

Crystalline NdMn2C2 at its relaxed geometry (GGA-PBE, Alexandria).

Values from the calculation:
Crystal system: tetragonal
Polymorph energy (0 for the lowest one) in meV per atom: 23
Energy relative to the elements in eV per atom: -0.174

POSCAR file:
```
NdMn2C2
1.0
-1.742 1.742 5.180
1.742 -1.742 5.180
1.742 1.742 -5.180
Nd Mn C
1 2 2
direct
0.000 0.000 0.000 Nd
0.250 0.750 0.500 Mn
0.750 0.250 0.500 Mn
0.338 0.338 0.000 C
0.662 0.662 0.000 C
```

=====

Entry 3:
# NdMn2C3

Crystalline NdMn2C3 at its relaxed geometry (GGA-PBE, Alexandria).

Values from the calculation:
Crystal system: orthorhombic
Energy relative to the elements in eV per atom: -0.031

POSCAR file:
```
NdMn2C3
1.0
3.297 -4.704 0.000
3.297 4.704 0.000
0.000 0.000 4.905
Nd Mn C
2 4 6
direct
0.208 0.792 0.750 Nd
0.792 0.208 0.250 Nd
0.311 0.311 0.000 Mn
0.311 0.311 0.500 Mn
0.689 0.689 0.000 Mn
0.689 0.689 0.500 Mn
0.033 0.180 0.750 C
0.180 0.033 0.250 C
0.417 0.583 0.250 C
0.583 0.417 0.750 C
0.820 0.967 0.750 C
0.967 0.820 0.250 C
```

=====

Entry 4:
# NdMn5C4

Crystalline NdMn5C4 at its relaxed geometry (GGA-PBE, Alexandria).

Values from the calculation:
Crystal system: monoclinic
Energy relative to the elements in eV per atom: 0.102

POSCAR file:
```
NdMn5C4
1.0
4.961 0.000 0.000
0.000 6.059 0.000
-2.353 0.000 7.777
Nd Mn C
2 10 8
direct
0.178 0.250 0.169 Nd
0.822 0.750 0.831 Nd
0.247 0.750 0.261 Mn
0.271 0.001 0.530 Mn
0.271 0.499 0.530 Mn
0.342 0.034 0.857 Mn
0.342 0.466 0.857 Mn
0.658 0.534 0.143 Mn
0.658 0.966 0.143 Mn
0.729 0.501 0.470 Mn
0.729 0.999 0.470 Mn
0.753 0.250 0.739 Mn
0.018 0.038 0.672 C
0.018 0.462 0.672 C
0.409 0.750 0.996 C
0.498 0.250 0.500 C
0.502 0.750 0.500 C
0.591 0.250 0.004 C
0.982 0.538 0.328 C
0.982 0.962 0.328 C
```

=====

Entry 5:
# Nd2MnC4

Crystalline Nd2MnC4 at its relaxed geometry (GGA-PBE, Alexandria).

Values from the calculation:
Crystal system: orthorhombic
Energy relative to the elements in eV per atom: -0.145

POSCAR file:
```
Nd2MnC4
1.0
-3.829 5.078 2.608
3.829 -5.078 2.608
3.829 5.078 -2.608
Nd Mn C
4 2 8
direct
0.145 0.161 0.305 Nd
0.355 0.661 0.016 Nd
0.645 0.339 0.984 Nd
0.855 0.839 0.695 Nd
0.250 0.750 0.500 Mn
0.750 0.250 0.500 Mn
0.078 0.665 0.743 C
0.124 0.834 0.958 C
0.376 0.334 0.710 C
0.422 0.165 0.587 C
0.578 0.835 0.413 C
0.624 0.666 0.290 C
0.876 0.166 0.042 C
0.922 0.335 0.257 C
```

=====

Entry 6:
# Nd2NpMn2C4

Crystalline Nd2NpMn2C4 at its relaxed geometry (GGA-PBE, Alexandria).

Values from the calculation:
Crystal system: monoclinic
Energy relative to the elements in eV per atom: 0.005

POSCAR file:
```
Nd2NpMn2C4
1.0
6.626 -1.713 0.000
6.626 1.713 0.000
-2.015 0.000 5.671
Nd Np Mn C
2 1 2 4
direct
0.135 0.135 0.040 Nd
0.865 0.865 0.960 Nd
0.000 0.000 0.500 Np
0.316 0.316 0.502 Mn
0.684 0.684 0.498 Mn
0.216 0.216 0.676 C
0.457 0.457 0.723 C
0.543 0.543 0.277 C
0.784 0.784 0.324 C
```

=====

Entry 7:
# NdMn2SiC

Crystalline NdMn2SiC at its relaxed geometry (GGA-PBE, Alexandria).

Values from the calculation:
Crystal system: orthorhombic
Uncorrected formation energy in eV per atom: -0.407

POSCAR file:
```
NdMn2SiC
1.0
1.925 -5.342 0.000
1.925 5.342 0.000
0.000 0.000 7.073
Nd Mn Si C
2 4 2 2
direct
0.047 0.953 0.750 Nd
0.953 0.047 0.250 Nd
0.332 0.668 0.563 Mn
0.332 0.668 0.937 Mn
0.668 0.332 0.063 Mn
0.668 0.332 0.437 Mn
0.233 0.767 0.250 Si
0.767 0.233 0.750 Si
0.500 0.500 0.000 C
0.500 0.500 0.500 C
```

=====

Entry 8:
# NdTaMnC3

Crystalline NdTaMnC3 at its relaxed geometry (GGA-PBE, Alexandria).

Values from the calculation:
Crystal system: monoclinic
Energy relative to the elements in eV per atom: -0.073

POSCAR file:
```
NdTaMnC3
1.0
7.071 0.000 0.000
0.000 3.349 0.000
-1.809 0.000 7.224
Nd Ta Mn C
2 2 2 6
direct
0.185 0.250 0.202 Nd
0.815 0.750 0.798 Nd
0.353 0.750 0.858 Ta
0.647 0.250 0.142 Ta
0.096 0.250 0.605 Mn
0.904 0.750 0.395 Mn
0.124 0.250 0.853 C
0.170 0.750 0.535 C
0.446 0.750 0.151 C
0.554 0.250 0.849 C
0.830 0.250 0.465 C
0.876 0.750 0.147 C
```

=====

Entry 9:
# NdTa2MnC4

Crystalline NdTa2MnC4 at its relaxed geometry (GGA-PBE, Alexandria).

Values from the calculation:
Crystal system: orthorhombic
Energy relative to the elements in eV per atom: -0.327

POSCAR file:
```
NdTa2MnC4
1.0
1.628 -5.601 0.000
1.628 5.601 0.000
0.000 0.000 10.907
Nd Ta Mn C
2 4 2 8
direct
0.096 0.904 0.750 Nd
0.904 0.096 0.250 Nd
0.370 0.630 0.544 Ta
0.370 0.630 0.956 Ta
0.630 0.370 0.044 Ta
0.630 0.370 0.456 Ta
0.169 0.831 0.250 Mn
0.831 0.169 0.750 Mn
0.000 0.000 0.000 C
0.000 0.000 0.500 C
0.263 0.737 0.114 C
0.263 0.737 0.386 C
0.416 0.584 0.750 C
0.584 0.416 0.250 C
0.737 0.263 0.614 C
0.737 0.263 0.886 C
```

=====

Entry 10:
# NdMnTcC3

Crystalline NdMnTcC3 at its relaxed geometry (GGA-PBE, Alexandria).

Values from the calculation:
Crystal system: monoclinic
Energy relative to the elements in eV per atom: 0.119

POSCAR file:
```
NdMnTcC3
1.0
6.001 0.000 0.000
0.000 3.418 0.000
-2.516 0.000 7.260
Nd Mn Tc C
2 2 2 6
direct
0.024 0.250 0.230 Nd
0.976 0.750 0.770 Nd
0.454 0.750 0.111 Mn
0.546 0.250 0.889 Mn
0.386 0.750 0.595 Tc
0.614 0.250 0.405 Tc
0.250 0.250 0.653 C
0.309 0.250 0.018 C
0.350 0.750 0.332 C
0.650 0.250 0.668 C
0.691 0.750 0.982 C
0.750 0.750 0.347 C
```

=====

Entry 11:
# NdTh2MnC4

Crystalline NdTh2MnC4 at its relaxed geometry (GGA-PBE, Alexandria).

Values from the calculation:
Crystal system: orthorhombic
Energy relative to the elements in eV per atom: -0.033

POSCAR file:
```
NdTh2MnC4
1.0
1.813 -6.074 0.000
1.813 6.074 0.000
0.000 0.000 12.466
Nd Th Mn C
2 4 2 8
direct
0.100 0.900 0.750 Nd
0.900 0.100 0.250 Nd
0.367 0.633 0.545 Th
0.367 0.633 0.955 Th
0.633 0.367 0.045 Th
0.633 0.367 0.455 Th
0.176 0.824 0.250 Mn
0.824 0.176 0.750 Mn
0.000 0.000 0.000 C
0.000 0.000 0.500 C
0.267 0.733 0.137 C
0.267 0.733 0.363 C
0.395 0.605 0.750 C
0.605 0.395 0.250 C
0.733 0.267 0.637 C
0.733 0.267 0.863 C
```

=====

Entry 12:
# NdMnWC3

Crystalline NdMnWC3 at its relaxed geometry (GGA-PBE, Alexandria).

Values from the calculation:
Crystal system: monoclinic
Energy relative to the elements in eV per atom: 0.113

POSCAR file:
```
NdMnWC3
1.0
6.904 0.000 0.000
0.000 3.304 0.000
-2.081 0.000 7.194
Nd Mn W C
2 2 2 6
direct
0.192 0.250 0.208 Nd
0.808 0.750 0.792 Nd
0.104 0.250 0.608 Mn
0.896 0.750 0.392 Mn
0.348 0.750 0.868 W
0.652 0.250 0.132 W
0.126 0.250 0.858 C
0.175 0.750 0.536 C
0.454 0.750 0.157 C
0.546 0.250 0.843 C
0.825 0.250 0.464 C
0.874 0.750 0.142 C
```

=====

Entry 13:
# NdMnZnC

Crystalline NdMnZnC at its relaxed geometry (GGA-PBE, Alexandria).

Values from the calculation:
Crystal system: tetragonal
Energy relative to the elements in eV per atom: -0.116

POSCAR file:
```
NdMnZnC
1.0
3.456 0.000 0.000
0.000 3.456 0.000
0.000 0.000 10.895
Nd Mn Zn C
2 2 2 2
direct
0.250 0.250 0.232 Nd
0.750 0.750 0.768 Nd
0.250 0.750 0.000 Mn
0.750 0.250 0.000 Mn
0.250 0.750 0.500 Zn
0.750 0.250 0.500 Zn
0.250 0.250 0.901 C
0.750 0.750 0.099 C
```

=====

Entry 14:
# Mn22NiC6

Crystalline Mn22NiC6 at its relaxed geometry (GGA-PBE, Alexandria).

Values from the calculation:
Crystal system: cubic
Energy relative to the elements in eV per atom: -0.098

POSCAR file:
```
Mn22NiC6
1.0
0.000 5.198 5.198
5.198 0.000 5.198
5.198 5.198 0.000
Mn Ni C
22 1 6
direct
0.000 0.000 0.337 Mn
0.000 0.000 0.663 Mn
0.000 0.337 0.000 Mn
0.000 0.337 0.663 Mn
0.000 0.663 0.000 Mn
0.000 0.663 0.337 Mn
0.146 0.618 0.618 Mn
0.250 0.250 0.250 Mn
0.337 0.000 0.000 Mn
0.337 0.000 0.663 Mn
0.337 0.663 0.000 Mn
0.382 0.382 0.382 Mn
0.382 0.382 0.854 Mn
0.382 0.854 0.382 Mn
0.618 0.146 0.618 Mn
0.618 0.618 0.146 Mn
0.618 0.618 0.618 Mn
0.663 0.000 0.000 Mn
0.663 0.000 0.337 Mn
0.663 0.337 0.000 Mn
0.750 0.750 0.750 Mn
0.854 0.382 0.382 Mn
0.000 0.000 0.000 Ni
0.276 0.276 0.724 C
0.276 0.724 0.276 C
0.276 0.724 0.724 C
0.724 0.276 0.276 C
0.724 0.276 0.724 C
0.724 0.724 0.276 C
```

=====

Entry 15:
# MnNiC2

Crystalline MnNiC2 at its relaxed geometry (GGA-PBE, Alexandria).

Values from the calculation:
Crystal system: cubic
Polymorph energy (0 for the lowest one) in meV per atom: 540
Energy relative to the elements in eV per atom: 1.172

POSCAR file:
```
MnNiC2
1.0
0.000 2.511 2.511
2.511 0.000 2.511
2.511 2.511 0.000
Mn Ni C
1 1 2
direct
0.000 0.000 0.000 Mn
0.500 0.500 0.500 Ni
0.250 0.250 0.250 C
0.750 0.750 0.750 C
```

=====

Entry 16:
# MnNiC3

Crystalline MnNiC3 at its relaxed geometry (GGA-PBE, Alexandria).

Values from the calculation:
Crystal system: cubic
Polymorph energy (0 for the lowest one) in meV per atom: 0
Energy relative to the elements in eV per atom: 1.860

POSCAR file:
```
MnNiC3
1.0
3.698 0.000 0.000
0.000 3.698 0.000
0.000 0.000 3.698
Mn Ni C
1 1 3
direct
0.000 0.000 0.000 Mn
0.500 0.500 0.500 Ni
0.000 0.000 0.500 C
0.000 0.500 0.000 C
0.500 0.000 0.000 C
```

=====

Entry 17:
# MnNiC3

Crystalline MnNiC3 at its relaxed geometry (GGA-PBE, Alexandria).

Values from the calculation:
Crystal system: cubic
Polymorph energy (0 for the lowest one) in meV per atom: 329
Energy relative to the elements in eV per atom: 2.189

POSCAR file:
```
MnNiC3
1.0
3.744 0.000 0.000
0.000 3.744 0.000
0.000 0.000 3.744
Mn Ni C
1 1 3
direct
0.000 0.000 0.000 Mn
0.500 0.500 0.500 Ni
0.000 0.500 0.500 C
0.500 0.000 0.500 C
0.500 0.500 0.000 C
```

=====

Entry 18:
# Mn2NiC

Crystalline Mn2NiC at its relaxed geometry (GGA-PBE, Alexandria).

Values from the calculation:
Crystal system: trigonal
Energy relative to the elements in eV per atom: 0.069

POSCAR file:
```
Mn2NiC
1.0
1.386 0.800 6.296
-1.386 0.800 6.296
0.000 -1.601 6.296
Mn Ni C
2 1 1
direct
0.227 0.227 0.227 Mn
0.773 0.773 0.773 Mn
0.000 0.000 0.000 Ni
0.500 0.500 0.500 C
```

=====

Entry 19:
# Mn2NiC

Crystalline Mn2NiC at its relaxed geometry (GGA-PBE, Alexandria).

Values from the calculation:
Crystal system: trigonal
Energy relative to the elements in eV per atom: 0.066

POSCAR file:
```
Mn2NiC
1.0
1.385 0.799 6.234
-1.385 0.799 6.234
0.000 -1.599 6.234
Mn Ni C
2 1 1
direct
0.000 0.000 0.000 Mn
0.214 0.214 0.214 Mn
0.440 0.440 0.440 Ni
0.606 0.606 0.606 C
```

=====

Entry 20:
# MnNiC2

Crystalline MnNiC2 at its relaxed geometry (GGA-PBE, Alexandria).

Values from the calculation:
Crystal system: tetragonal
Polymorph energy (0 for the lowest one) in meV per atom: 0
Energy relative to the elements in eV per atom: 0.632

POSCAR file:
```
MnNiC2
1.0
-2.166 2.166 4.303
2.166 -2.166 4.303
2.166 2.166 -4.303
Mn Ni C
2 2 4
direct
0.000 0.000 0.000 Mn
0.750 0.250 0.500 Mn
0.250 0.750 0.500 Ni
0.500 0.500 0.000 Ni
0.109 0.625 0.984 C
0.375 0.359 0.484 C
0.641 0.125 0.016 C
0.875 0.891 0.516 C
```

=====

Entry 21:
# Mn2NiC

Crystalline Mn2NiC at its relaxed geometry (GGA-PBE, Alexandria).

Values from the calculation:
Crystal system: tetragonal
Energy relative to the elements in eV per atom: 0.302

POSCAR file:
```
Mn2NiC
1.0
-3.152 3.152 2.008
3.152 -3.152 2.008
3.152 3.152 -2.008
Mn Ni C
4 2 2
direct
0.034 0.125 0.409 Mn
0.375 0.966 0.091 Mn
0.716 0.625 0.591 Mn
0.875 0.284 0.909 Mn
0.250 0.750 0.500 Ni
0.500 0.500 0.000 Ni
0.000 0.000 0.000 C
0.750 0.250 0.500 C
```

=====

Entry 22:
# MnNi2PdC

Crystalline MnNi2PdC at its relaxed geometry (GGA-PBE, Alexandria).

Values from the calculation:
Crystal system: tetragonal
Energy relative to the elements in eV per atom: 0.051

POSCAR file:
```
MnNi2PdC
1.0
3.807 0.000 0.000
0.000 3.807 0.000
0.000 0.000 3.940
Mn Ni Pd C
1 2 1 1
direct
0.000 0.000 0.000 Mn
0.000 0.500 0.500 Ni
0.500 0.000 0.500 Ni
0.500 0.500 0.000 Pd
0.000 0.000 0.500 C
```

=====

Number 1: E_tot -0.2739 Ha/atom, Fermi-level density of states 6.96 states/eV/cell. Number 2: E_tot -0.3118 Ha/atom, Fermi-level density of states 3.63 states/eV/cell. Number 3: E_tot -0.3121 Ha/atom, Fermi-level density of states 6.96 states/eV/cell. Number 4: E_tot -0.3179 Ha/atom, Fermi-level density of states 15.48 states/eV/cell. Number 5: E_tot -0.2972 Ha/atom, Fermi-level density of states 5.30 states/eV/cell. Number 6: E_tot -0.3171 Ha/atom, Fermi-level density of states 10.54 states/eV/cell. Number 7: E_tot -0.2924 Ha/atom, Fermi-level density of states 5.89 states/eV/cell. Number 8: E_tot -0.3301 Ha/atom, Fermi-level density of states 5.10 states/eV/cell. Number 9: E_tot -0.3544 Ha/atom, Fermi-level density of states 7.26 states/eV/cell. Number 10: E_tot -0.3140 Ha/atom, Fermi-level density of states 7.74 states/eV/cell. Number 11: E_tot -0.3029 Ha/atom, Fermi-level density of states 9.48 states/eV/cell. Number 12: E_tot -0.3300 Ha/atom, Fermi-level density of states 7.31 states/eV/cell. Number 13: E_tot -0.2288 Ha/atom, Fermi-level density of states 5.15 states/eV/cell. Number 14: E_tot -0.3367 Ha/atom, Fermi-level density of states 28.35 states/eV/cell. Number 15: E_tot -0.2638 Ha/atom, Fermi-level density of states 3.85 states/eV/cell. Number 16: E_tot -0.2449 Ha/atom, Fermi-level density of states 1.68 states/eV/cell. Number 17: E_tot -0.2328 Ha/atom, Fermi-level density of states 3.28 states/eV/cell. Number 18: E_tot -0.3038 Ha/atom, Fermi-level density of states 3.12 states/eV/cell. Number 19: E_tot -0.3039 Ha/atom, Fermi-level density of states 3.00 states/eV/cell. Number 20: E_tot -0.2836 Ha/atom, Fermi-level density of states 5.33 states/eV/cell. Number 21: E_tot -0.2952 Ha/atom, Fermi-level density of states 7.60 states/eV/cell. Number 22: E_tot -0.2565 Ha/atom, Fermi-level density of states 4.54 states/eV/cell.